[1]
First-principles (PBE) data for a relaxed LaBeBPt6 crystal, as listed in Alexandria. Values from VASP.

Calculated density, g/cm3: 13.94
Space-group type: Imma (74)
Density of states at the Fermi level, states/eV per cell: 5.9
ΔE_f, eV/f.u.: -4.999
Magnetic moment, μB/atom: 0.00

Geometry as Quantum ESPRESSO input:
```
&SYSTEM
  ibrav = 0, nat = 18, ntyp = 4
/
ATOMIC_SPECIES
Pt 195.08 Pt.upf
B 10.81 B.upf
La 138.91 La.upf
Be 9.01 Be.upf
ATOMIC_POSITIONS crystal
Pt 0.596 0.899 0.748
Pt 0.848 0.651 0.252
Pt 0.596 0.349 0.748
Pt 0.404 0.651 0.252
Pt 0.404 0.101 0.252
Pt 0.152 0.349 0.748
Pt 0.430 0.680 0.860
Pt 0.872 0.122 0.745
Pt 0.848 0.101 0.252
Pt 0.152 0.899 0.748
Pt 0.128 0.878 0.255
Pt 0.570 0.320 0.140
B 0.500 0.500 0.000
B 0.500 0.000 0.000
La 0.855 0.605 0.709
La 0.145 0.395 0.291
Be 0.500 0.000 0.500
Be 0.000 0.000 0.500
CELL_PARAMETERS angstrom
-1.608 -2.416 -6.579
0.793 -7.624 2.606
-4.868 4.924 3.311
```

=====

[2]
First-principles (PBE) data for a relaxed AlReTeI2 crystal, as listed in Alexandria. Values from VASP.

Calculated density, g/cm3: 5.98
Space-group type: P4/mmm (123)
Offset from the most stable computed form, meV/atom: 0.0
Density of states at the Fermi level, states/eV per cell: 2.7
Magnetic moment, μB/atom: 0.13

Geometry as Quantum ESPRESSO input:
```
&SYSTEM
  ibrav = 0, nat = 5, ntyp = 4
/
ATOMIC_SPECIES
I 126.90 I.upf
Al 26.98 Al.upf
Te 127.60 Te.upf
Re 186.21 Re.upf
ATOMIC_POSITIONS crystal
I 0.500 0.000 0.000
I 0.000 0.500 0.000
Al 0.500 0.500 0.500
Te 0.000 0.000 0.500
Re 0.000 0.000 0.000
CELL_PARAMETERS angstrom
-5.618 -0.881 0.518
0.127 -3.473 -4.531
0.900 -3.945 3.049
```

=====

[3]
First-principles (PBE) data for a relaxed Na2TlIrCl6 crystal, as listed in Alexandria. Values from VASP.

Calculated density, g/cm3: 4.04
E, eV/atom: -3.585
Space-group type: R3 (146)
Density of states at the Fermi level, states/eV per cell: 0.0
Magnetic moment, μB/atom: 0.00

Geometry as Quantum ESPRESSO input:
```
&SYSTEM
  ibrav = 0, nat = 10, ntyp = 4
/
ATOMIC_SPECIES
Na 22.99 Na.upf
Ir 192.22 Ir.upf
Cl 35.45 Cl.upf
Tl 204.38 Tl.upf
ATOMIC_POSITIONS crystal
Na 0.002 0.002 0.995
Na 0.525 0.525 0.425
Ir 0.330 0.330 0.009
Cl 0.378 0.688 0.784
Cl 0.150 0.378 0.784
Cl 0.262 0.977 0.221
Cl 0.977 0.540 0.221
Cl 0.688 0.149 0.785
Cl 0.540 0.262 0.221
Tl 0.809 0.809 0.572
CELL_PARAMETERS angstrom
-0.752 -3.515 -6.000
5.181 -0.049 -4.698
3.910 -6.383 -0.827
```

=====

- calculated density of number 1 (LaBeBPt6)?
  13.94 g/cm3